Entry 1:
Below is an optimized crystal structure of Li3In4Ag2, with properties calculated at the PBE level.

Lattice parameters (Å, degrees): 4.786 4.796 8.940 89.83 89.99 60.06
Positions (direct):
Li1 0.667 0.666 0.553
Li2 0.333 0.334 0.447
Li3 0.000 0.000 0.000
In1 0.334 0.332 0.110
In2 0.666 0.668 0.890
In3 0.000 0.999 0.334
In4 0.000 0.001 0.666
Ag1 0.333 0.334 0.764
Ag2 0.667 0.666 0.236

Properties
V, Å³/atom: 19.8
Size of the total moment, μB/f.u.: 0.00
Fermi-level density of states, states/eV/f.u.: 1.90
ΔH_f (0 K), meV/atom: -202
E above lowest polymorph, eV/atom: 0.0000

Entry 2:
Below is an optimized crystal structure of Li3In3Ag5, with properties calculated at the PBE level.

Lattice parameters (Å, degrees): 2.939 9.410 9.410 120.00 90.00 90.00
Positions (direct):
Li1 0.500 0.167 0.167
Li2 0.500 0.000 0.833
Li3 0.500 0.833 0.000
In1 0.000 0.581 0.000
In2 0.000 0.419 0.419
In3 0.000 0.000 0.581
Ag1 0.500 0.000 0.318
Ag2 0.500 0.333 0.667
Ag3 0.500 0.682 0.682
Ag4 0.500 0.667 0.333
Ag5 0.500 0.318 0.000

Properties
V, Å³/atom: 20.5
Size of the total moment, μB/f.u.: 0.00
Fermi-level density of states, states/eV/f.u.: 3.86
ΔH_f (0 K), meV/atom: 88

Entry 3:
Below is an optimized crystal structure of Li2In5Ag2, with properties calculated at the PBE level.

Lattice parameters (Å, degrees): 7.419 7.441 8.297 116.64 90.00 90.00
Positions (direct):
In1 0.500 0.500 0.000
In2 0.849 0.794 0.291
In3 0.651 0.294 0.291
In4 0.651 0.003 0.709
In5 0.151 0.497 0.291
In6 0.000 0.000 0.000
In7 0.151 0.206 0.709
In8 0.349 0.706 0.709
In9 0.849 0.503 0.709
In10 0.349 0.997 0.291
Ag1 0.000 0.810 0.621
Ag2 0.000 0.190 0.379
Ag3 0.500 0.690 0.379
Ag4 0.500 0.310 0.621
Li1 0.861 0.361 0.000
Li2 0.139 0.639 0.000
Li3 0.361 0.139 0.000
Li4 0.639 0.861 0.000

Properties
V, Å³/atom: 22.7
Size of the total moment, μB/f.u.: 0.00
Fermi-level density of states, states/eV/f.u.: 2.46
ΔH_f (0 K), meV/atom: -40

Entry 4:
Below is an optimized crystal structure of Li2In4Ag, with properties calculated at the PBE level.

Lattice parameters (Å, degrees): 5.356 5.356 7.193 111.86 111.86 90.00
Positions (direct):
In1 0.750 0.250 0.500
In2 0.250 0.750 0.500
In3 0.000 0.500 0.000
In4 0.500 0.000 0.000
Li1 0.374 0.374 0.747
Li2 0.626 0.626 0.253
Ag1 0.000 0.000 0.000

Properties
V, Å³/atom: 25.1
Size of the total moment, μB/f.u.: 0.00
Fermi-level density of states, states/eV/f.u.: 3.86
ΔH_f (0 K), meV/atom: 51
E above lowest polymorph, eV/atom: 0.1570

Entry 5:
Below is an optimized crystal structure of Li2InAg2, with properties calculated at the PBE level.

Lattice parameters (Å, degrees): 7.423 7.423 3.303 90.00 90.00 90.00
Positions (direct):
Ag1 0.365 0.865 0.000
Ag2 0.865 0.635 0.000
Ag3 0.135 0.365 0.000
Ag4 0.635 0.135 0.000
Li1 0.662 0.838 0.500
Li2 0.162 0.662 0.500
Li3 0.838 0.338 0.500
Li4 0.338 0.162 0.500
In1 0.500 0.500 0.000
In2 0.000 0.000 0.000

Properties
V, Å³/atom: 18.2
Size of the total moment, μB/f.u.: 0.00
Fermi-level density of states, states/eV/f.u.: 2.78
ΔH_f (0 K), meV/atom: -194
E above lowest polymorph, eV/atom: 0.0356

Entry 6:
Below is an optimized crystal structure of Li5InAg2, with properties calculated at the PBE level.

Lattice parameters (Å, degrees): 4.305 4.305 8.054 105.50 105.50 90.00
Positions (direct):
Li1 0.635 0.135 0.270
Li2 0.365 0.865 0.730
Li3 0.500 0.500 0.000
Li4 0.135 0.635 0.270
Li5 0.865 0.365 0.730
In1 0.000 0.000 0.000
Ag1 0.248 0.248 0.495
Ag2 0.752 0.752 0.505

Properties
V, Å³/atom: 17.3
Size of the total moment, μB/f.u.: 0.00
Fermi-level density of states, states/eV/f.u.: 1.78
ΔH_f (0 K), meV/atom: -219

Entry 7:
Below is an optimized crystal structure of Li2In2Ag5, with properties calculated at the PBE level.

Lattice parameters (Å, degrees): 7.308 5.810 9.256 108.29 113.25 90.00
Positions (direct):
Ag1 0.201 0.787 0.500
Ag2 0.587 0.124 0.674
Ag3 0.858 0.894 0.214
Ag4 0.857 0.394 0.214
Ag5 0.587 0.624 0.674
Ag6 0.142 0.680 0.786
Ag7 0.413 0.450 0.326
Ag8 0.413 0.950 0.326
Ag9 0.799 0.287 0.500
Ag10 0.143 0.180 0.786
Li1 0.831 0.492 0.910
Li2 0.579 0.992 0.910
Li3 0.169 0.582 0.090
Li4 0.421 0.082 0.090
In1 0.000 0.038 0.000
In2 0.803 0.787 0.500
In3 0.197 0.287 0.500
In4 0.500 0.538 0.000

Properties
V, Å³/atom: 18.9
Size of the total moment, μB/f.u.: 0.00
Fermi-level density of states, states/eV/f.u.: 2.89
ΔH_f (0 K), meV/atom: -41
E above lowest polymorph, eV/atom: 0.0871

Entry 8:
Below is an optimized crystal structure of Li5In3Ag2, with properties calculated at the PBE level.

Lattice parameters (Å, degrees): 5.607 10.700 10.700 39.99 74.81 74.81
Positions (direct):
Li1 0.772 0.550 0.906
Li2 0.250 0.500 0.500
Li3 0.096 0.154 0.154
Li4 0.228 0.450 0.094
Li5 0.404 0.846 0.846
Li6 0.728 0.094 0.450
Li7 0.272 0.906 0.550
Li8 0.750 0.500 0.500
Li9 0.596 0.154 0.154
Li10 0.904 0.846 0.846
In1 0.138 0.220 0.505
In2 0.862 0.780 0.495
In3 0.362 0.495 0.780
In4 0.250 0.000 0.000
In5 0.638 0.505 0.220
In6 0.750 0.000 0.000
Ag1 0.587 0.183 0.642
Ag2 0.087 0.642 0.183
Ag3 0.913 0.358 0.817
Ag4 0.413 0.817 0.358

Properties
V, Å³/atom: 19.8
Size of the total moment, μB/f.u.: 0.00
Fermi-level density of states, states/eV/f.u.: 3.40
ΔH_f (0 K), meV/atom: -149

Which value of V does entry 7 give?
18.9 Å³/atom